1.
Compound: TaBiN3
Source: Alexandria via LeMat-Bulk
Functional: PBE-GGA
Structure: optimized geometry

Summary:
V, Å³ per cell: 68.38
E_form (uncorrected), eV per formula unit: 0.8

Structure (POSCAR):
```
TaBiN3
1.0
-3.429 1.835 1.263
-1.877 -1.131 -3.453
-1.200 -3.475 1.790
N Bi Ta
3 1 1
direct
0.000 0.500 0.000 N
0.000 0.000 0.500 N
0.500 0.000 0.000 N
0.500 0.500 0.500 Bi
0.000 0.000 0.000 Ta
```



2.
Compound: ScReRu2
Source: Alexandria via LeMat-Bulk
Functional: PBE-GGA
Structure: optimized geometry

Summary:
V, Å³ per cell: 140.69
ΔE_f, meV per atom: 341

Structure (POSCAR):
```
ScReRu2
1.0
7.149 0.000 0.000
0.000 7.149 0.000
3.574 3.574 2.753
Sc Re Ru
2 2 4
direct
0.500 0.500 0.000 Sc
0.250 0.750 0.500 Sc
0.000 0.000 0.000 Re
0.750 0.250 0.500 Re
0.667 0.125 0.250 Ru
0.083 0.625 0.250 Ru
0.375 0.333 0.750 Ru
0.875 0.917 0.750 Ru
```



3.
Compound: Li2MgBi2
Source: Alexandria via LeMat-Bulk
Functional: PBE-GGA
Structure: optimized geometry

Summary:
V, Å³ per cell: 278.11
ΔE_f, meV per atom: -259

Structure (POSCAR):
```
Li2MgBi2
1.0
1.340 3.538 -2.949
1.499 -4.662 -4.919
-9.235 1.107 1.036
Li Mg Bi
4 2 4
direct
0.694 0.444 0.888 Li
0.002 0.752 0.505 Li
0.998 0.248 0.495 Li
0.306 0.556 0.112 Li
0.316 0.066 0.131 Mg
0.684 0.934 0.869 Mg
0.857 0.363 0.214 Bi
0.857 0.851 0.214 Bi
0.143 0.149 0.786 Bi
0.143 0.637 0.786 Bi
```



4.
Compound: Ac2CdSi3Pt12
Source: Alexandria via LeMat-Bulk
Functional: PBE-GGA
Structure: optimized geometry

Summary:
V, Å³ per cell: 374.59
E_form (uncorrected), eV per formula unit: -8.7

Structure (POSCAR):
```
Ac2CdSi3Pt12
1.0
-7.826 0.475 -0.144
-3.682 -3.020 6.230
-3.158 5.228 4.919
Ac Cd Si Pt
2 1 3 12
direct
0.610 0.610 0.610 Ac
0.390 0.390 0.390 Ac
0.000 0.000 0.000 Cd
0.500 0.000 0.000 Si
0.000 0.500 0.000 Si
0.000 0.000 0.500 Si
0.348 0.348 0.901 Pt
0.869 0.869 0.386 Pt
0.386 0.869 0.869 Pt
0.901 0.348 0.348 Pt
0.869 0.386 0.869 Pt
0.348 0.901 0.348 Pt
0.652 0.652 0.099 Pt
0.131 0.131 0.614 Pt
0.614 0.131 0.131 Pt
0.099 0.652 0.652 Pt
0.131 0.614 0.131 Pt
0.652 0.099 0.652 Pt
```



5.
Compound: LaPrSmSc
Source: Alexandria via LeMat-Bulk
Functional: PBE-GGA
Structure: optimized geometry

Summary:
V, Å³ per cell: 131.32
ΔE_f, meV per atom: 111

Structure (POSCAR):
```
LaPrSmSc
1.0
5.705 0.000 0.000
2.853 4.941 0.000
2.853 1.647 4.658
Pr Sc Sm La
1 1 1 1
direct
0.750 0.750 0.750 Pr
0.000 0.000 0.000 Sc
0.500 0.500 0.500 Sm
0.250 0.250 0.250 La
```



6.
Compound: Rb3AcCl6
Source: Alexandria via LeMat-Bulk
Functional: PBE-GGA
Structure: optimized geometry

Summary:
V, Å³ per cell: 776.43
E_form (uncorrected), eV per formula unit: -21.7

Structure (POSCAR):
```
Rb3AcCl6
1.0
-1.662 4.826 -6.215
-7.448 1.958 3.512
4.808 8.942 5.210
Rb Ac Cl
6 2 12
direct
0.527 0.932 0.759 Rb
0.500 0.500 0.000 Rb
0.473 0.068 0.241 Rb
0.027 0.568 0.259 Rb
0.000 0.000 0.500 Rb
0.973 0.432 0.741 Rb
0.500 0.500 0.500 Ac
0.000 0.000 0.000 Ac
0.714 0.185 0.939 Cl
0.676 0.224 0.583 Cl
0.638 0.433 0.268 Cl
0.362 0.567 0.732 Cl
0.324 0.776 0.417 Cl
0.286 0.815 0.061 Cl
0.214 0.315 0.439 Cl
0.176 0.276 0.083 Cl
0.138 0.067 0.768 Cl
0.862 0.933 0.232 Cl
0.824 0.724 0.917 Cl
0.786 0.685 0.561 Cl
```



7.
Compound: Ac2InPt
Source: Alexandria via LeMat-Bulk
Functional: PBE-GGA
Structure: optimized geometry

Summary:
V, Å³ per cell: 139.28
ΔE_f, meV per atom: -549

Structure (POSCAR):
```
Ac2InPt
1.0
4.600 0.000 -0.002
0.000 5.276 0.003
-2.298 -2.634 5.739
Ac In Pt
2 1 1
direct
0.167 0.177 0.335 Ac
0.833 0.841 0.665 Ac
0.500 0.509 0.000 In
0.500 0.009 0.000 Pt
```



8.
Compound: KInCu
Source: Alexandria via LeMat-Bulk
Functional: PBE-GGA
Structure: optimized geometry

Summary:
V, Å³ per cell: 195.85
ΔE_f, meV per atom: 40

Structure (POSCAR):
```
KInCu
1.0
-3.507 -0.446 2.403
-3.426 -2.012 -1.582
6.778 -9.886 3.987
K In Cu
2 2 2
direct
0.786 0.779 0.331 K
0.214 0.221 0.669 K
0.044 0.042 0.124 In
0.956 0.958 0.876 In
0.666 0.666 0.997 Cu
0.334 0.334 0.003 Cu
```



The evaluated calculated density for the records listed, in turn: 10.49; 10.23; 5.45; 13.26; 6.01; 2.98; 9.11; 3.69 g/cm3.